A plane-wave DFT calculation with PBE was carried out for a relaxed LaPaAl4 crystal.

Cell: 5.631 5.631 5.631 Å, 60.00 60.00 60.00°
Fractional coordinates of all 6 atoms:
La (0.000, 0.000, 0.000)
Pa (0.250, 0.250, 0.250)
Al (0.128, 0.624, 0.624)
Al (0.624, 0.128, 0.624)
Al (0.624, 0.624, 0.128)
Al (0.624, 0.624, 0.624)

Calculated values
The value obtained for the final energy is -5.22 eV per atom. As for the symmetry: F-43m (216). Its energy relative to the elements is -0.324 eV per atom.

=====

A plane-wave DFT calculation with PBE was carried out for a relaxed PtWBr4 crystal.

Cell: 5.919 5.919 5.919 Å, 60.00 60.00 60.00°
Fractional coordinates of all 6 atoms:
Pt (0.000, 0.000, 0.000)
W (0.750, 0.750, 0.750)
Br (0.375, 0.375, 0.375)
Br (0.375, 0.375, 0.876)
Br (0.375, 0.876, 0.375)
Br (0.876, 0.375, 0.375)

Calculated values
The formation energy (no corrections) is 1.86 eV per atom. The value obtained for the final energy is -2.42 eV per atom. As for the symmetry: F-43m (216).

=====

A plane-wave DFT calculation with PBE was carried out for a relaxed Pr4TmCd5 crystal.

Cell: 3.820 3.820 19.508 Å, 90.00 90.00 90.00°
Fractional coordinates of all 10 atoms:
Pr (0.000, 0.000, 0.102)
Pr (0.000, 0.000, 0.307)
Pr (0.000, 0.000, 0.693)
Pr (0.000, 0.000, 0.898)
Tm (0.000, 0.000, 0.500)
Cd (0.500, 0.500, 0.000)
Cd (0.500, 0.500, 0.203)
Cd (0.500, 0.500, 0.412)
Cd (0.500, 0.500, 0.588)
Cd (0.500, 0.500, 0.797)

Calculated values
The value obtained for the final energy is -3.13 eV per atom. As for the symmetry: P4/mmm (123). Its energy relative to the elements is -0.312 eV per atom.

=====

A plane-wave DFT calculation with PBE was carried out for a relaxed TaGeRh crystal.

Cell: 6.461 3.866 7.490 Å, 90.00 90.00 90.00°
Fractional coordinates of all 12 atoms:
Ta (0.028, 0.250, 0.179)
Ta (0.472, 0.750, 0.679)
Ta (0.528, 0.250, 0.321)
Ta (0.972, 0.750, 0.821)
Ge (0.241, 0.750, 0.376)
Ge (0.259, 0.250, 0.876)
Ge (0.741, 0.750, 0.124)
Ge (0.759, 0.250, 0.624)
Rh (0.144, 0.250, 0.563)
Rh (0.356, 0.750, 0.063)
Rh (0.644, 0.250, 0.937)
Rh (0.856, 0.750, 0.437)

Calculated values
The value obtained for the final energy is -8.49 eV per atom. As for the symmetry: Pnma (62). Its energy relative to the elements is -0.548 eV per atom.